! Rb3NaCo2F9, optimized geometry, DFT GGA+U; values from VASP
! Magnetic moment   7.00 μB/cell
! Space group   No. 164
! Final energy   -4.533 eV per atom
&SYSTEM
  ibrav = 0, nat = 15, ntyp = 4
/
ATOMIC_SPECIES
Rb 85.47 Rb.upf
Na 22.99 Na.upf
Co 58.93 Co.upf
F 19.00 F.upf
ATOMIC_POSITIONS angstrom
Rb 0.0000 0.0000 0.0000
Rb 0.0000 3.4592 4.8108
Rb 2.9958 1.7296 2.5118
Na 0.0000 0.0000 3.6613
Co 0.0000 3.4592 1.1742
Co 2.9958 1.7296 6.1484
F -1.4979 2.5944 0.0000
F 0.0000 1.8473 2.2694
F -1.3960 4.2652 2.2694
F 1.5998 0.9236 5.0532
F 2.9958 0.0000 0.0000
F 1.4979 2.5944 0.0000
F 1.3960 4.2652 2.2694
F 4.3918 0.9236 5.0532
F 2.9958 3.3416 5.0532
CELL_PARAMETERS angstrom
5.9916 0.0000 0.0000
-2.9958 5.1889 0.0000
0.0000 0.0000 7.3226